Density functional theory data (PBE) for a relaxed structure of ReGeSb.

Summary:
DFT total energy (eV/atom): -6.552
Spin magnetization (μB/f.u.): 0.0

Cell lengths 6.259, 6.259, 6.259 Å; angles 90.00, 90.00, 90.00 degrees
Space group F-43m (No. 216)
One atom of each set of equivalent atoms:
Re: 0.000 0.000 0.000
Ge: 0.250 0.250 0.750
Sb: 0.250 0.250 0.250